Entry 1:
Density functional theory data (PBE-GGA) for an optimized crystal structure of NdTlGe2.

a b c (Å): 4.3426 4.6653 4.6653
angles (deg): 90.00 90.00 90.00
With the nearest neighbours (Å) after each atom.
Positions (direct):
Tl 0.5000 0.0000 0.0000  8 Ge 3.19, 4 Nd 3.30
Ge 0.0000 0.5000 0.0000  4 Tl 3.19, 4 Nd 3.19, 4 Ge 3.30
Ge 0.0000 0.0000 0.5000  4 Tl 3.19, 4 Nd 3.19, 4 Ge 3.30
Nd 0.5000 0.5000 0.5000  8 Ge 3.19, 4 Tl 3.30

magnetization	0.00	μB/f.u.
energy	-4.432	eV/atom

Entry 2:
Density functional theory data (PBE-GGA) for an optimized crystal structure of NdTl2Ge.

a b c (Å): 5.0716 4.5250 4.5250
angles (deg): 90.00 90.00 90.00
With the nearest neighbours (Å) after each atom.
Positions (direct):
Tl 0.0000 0.0000 0.5000  4 Tl 3.20, 4 Ge 3.40, 4 Nd 3.40
Tl 0.0000 0.5000 0.0000  4 Tl 3.20, 4 Ge 3.40, 4 Nd 3.40
Nd 0.5000 0.5000 0.5000  4 Ge 3.20, 8 Tl 3.40
Ge 0.5000 0.0000 0.0000  4 Nd 3.20, 8 Tl 3.40

magnetization	0.00	μB/f.u.
ΔE to the lowest computed polymorph	0	meV per atom

Entry 3:
Density functional theory data (PBE-GGA) for an optimized crystal structure of NdTlGe4.

a b c (Å): 5.7311 5.7311 5.7311
angles (deg): 60.00 60.00 60.00
With the nearest neighbours (Å) after each atom.
Positions (direct):
Ge 0.1229 0.6257 0.6257  6 Ge 2.85-2.88
Ge 0.6257 0.6257 0.1229  6 Ge 2.85-2.88
Ge 0.6257 0.1229 0.6257  6 Ge 2.85-2.88
Ge 0.6257 0.6257 0.6257  6 Ge 2.85-2.88
Nd 0.0000 0.0000 0.0000  12 Ge 3.36, 4 Tl 3.51
Tl 0.2500 0.2500 0.2500  12 Ge 3.36, 4 Nd 3.51

magnetization	0.00	μB/f.u.
energy	-4.443	eV/atom